(1)
## Ac2In2Ge3 (PBE-GGA)

Data for a geometry-optimized Ac2In2Ge3 structure.

Cell lengths 4.604, 8.633, 10.669 Å; angles 84.18, 77.54, 74.53 degrees
Fractional positions:
Ge  0.618  0.231  0.534
Ge  0.839  0.505  0.818
Ge  0.161  0.495  0.182
Ge  0.083  0.950  0.884
Ge  0.917  0.050  0.116
Ge  0.382  0.769  0.466
Ac  0.269  0.129  0.333
Ac  0.731  0.871  0.667
Ac  0.600  0.746  0.053
Ac  0.400  0.254  0.947
In  0.948  0.790  0.313
In  0.052  0.210  0.687
In  0.597  0.470  0.335
In  0.403  0.530  0.665

- SG: C2/m (12)
- Relative energy among the computed polymorphs: 0.0 meV per atom
- Total energy: -4.416 eV/atom


(2)
## BaCa2GaPt (PBE-GGA)

Data for a geometry-optimized BaCa2GaPt structure.

Cell lengths 5.637, 5.637, 5.014 Å; angles 90.00, 90.00, 90.00 degrees
Fractional positions:
Ga  0.000  0.000  0.500
Ca  0.500  0.000  0.000
Ca  0.000  0.500  0.000
Pt  0.000  0.000  0.000
Ba  0.500  0.500  0.500

- SG: P4/mmm (123)
- Total energy: -3.470 eV/atom


(3)
## Ce3Dy2ErAs6 (PBE-GGA)

Data for a geometry-optimized Ce3Dy2ErAs6 structure.

Cell lengths 7.213, 7.213, 7.197 Å; angles 99.62, 99.62, 120.00 degrees
Last column: magnetic moment on the atom in μB.
Fractional positions:
As  0.586  0.918  0.755  -0.02
As  0.414  0.082  0.245  -0.02
As  0.750  0.750  0.245  -0.02
As  0.918  0.586  0.755  -0.02
As  0.082  0.414  0.245  -0.02
As  0.250  0.250  0.755  -0.02
Ce  0.167  0.833  0.500  0.59
Ce  0.500  0.500  0.500  0.59
Ce  0.833  0.167  0.500  0.59
Dy  0.667  0.333  0.000  0.01
Dy  0.333  0.667  0.000  0.01
Er  0.000  0.000  0.000  0.00

- SG: C2/m (12)
- Total energy: -6.434 eV/atom


(4)
## Ce2Nd3DyY6 (PBE-GGA)

Data for a geometry-optimized Ce2Nd3DyY6 structure.

Cell lengths 6.226, 6.226, 11.837 Å; angles 95.02, 95.02, 119.99 degrees
Last column: magnetic moment on the atom in μB.
Fractional positions:
Nd  0.166  0.834  0.500  -0.01
Nd  0.834  0.166  0.500  -0.01
Nd  0.500  0.500  0.500  -0.01
Y  0.918  0.583  0.754  0.01
Y  0.583  0.918  0.754  0.01
Y  0.253  0.253  0.754  0.01
Y  0.747  0.747  0.246  0.01
Y  0.082  0.417  0.246  0.01
Y  0.417  0.082  0.246  0.01
Ce  0.334  0.666  0.000  0.76
Ce  0.666  0.334  0.000  0.76
Dy  0.000  0.000  0.000  0.06

- SG: C2/m (12)
- Total energy: -5.751 eV/atom


Calculated calculated volume in order - 398.65, 159.30, 305.63, 391.28 Å³/cell
Calculated spin magnetization in order - 0.00, 0.00, 1.93, 1.98 μB per cell
Calculated energy of formation from the pure elements in order - -481, -471, -1478, 45 meV/atom